No. 1
GeSb2PdI: optimized geometry, PBE.

a b c (Å): 5.5191 5.5191 4.7303
angles (deg): 90.00 90.00 90.00
Closest atoms and distances in Å follow each position.
Positions (direct):
Ge (0.0000, 0.0000, 0.0000)  2 Pd 2.37
Sb (0.0000, 0.5000, 0.0000)  2 Ge 2.76
Sb (0.5000, 0.0000, 0.0000)  2 Ge 2.76
Pd (0.0000, 0.0000, 0.5000)  2 Ge 2.37
I (0.5000, 0.5000, 0.5000)  8 Sb 3.63, 4 Pd 3.90

Computed properties:
DFT total energy: -3.473 eV/atom
total magnetic moment: 0.00 μB/cell
calculated volume: 28.82 A^3/atom
formation energy from raw total energies: 0.45 eV/atom

***

No. 2
MnSnGe2C: optimized geometry, PBE.

a b c (Å): 4.8745 4.8745 3.6786
angles (deg): 90.00 90.00 90.00
Closest atoms and distances in Å follow each position.
Positions (direct):
Mn (0.0000, 0.0000, 0.0000)  2 C 1.84
Sn (0.5000, 0.5000, 0.5000)  8 Ge 3.05
Ge (0.0000, 0.5000, 0.0000)  2 Mn 2.44
Ge (0.5000, 0.0000, 0.0000)  2 Mn 2.44
C (0.0000, 0.0000, 0.5000)  2 Mn 1.84

Computed properties:
DFT total energy: -5.645 eV/atom
total magnetic moment: 0.73 μB/cell
calculated volume: 17.48 A^3/atom
E_form: 0.681 eV per atom

***

No. 3
Ac3AgB4O12: optimized geometry, PBE.

a b c (Å): 6.9310 6.9310 6.9310
angles (deg): 101.42 101.42 101.42
Closest atoms and distances in Å follow each position.
Positions (direct):
Ac (0.0000, 0.5171, 0.4829)  6 O 2.50-2.52
Ac (0.4829, 0.0000, 0.5171)  6 O 2.50-2.52
Ac (0.5171, 0.4829, 0.0000)  6 O 2.50-2.52
Ag (0.0000, 0.0000, 0.0000)  6 O 2.60
B (0.0152, 0.5000, 0.9848)  3 O 1.37-1.38
B (0.5000, 0.5000, 0.5000)  3 O 1.38
B (0.5000, 0.9848, 0.0152)  3 O 1.37-1.38
B (0.9848, 0.0152, 0.5000)  3 O 1.37-1.38
O (0.0196, 0.6295, 0.8567)  1 B 1.38
O (0.1126, 0.8874, 0.5000)  1 B 1.37
O (0.1432, 0.3705, 0.9804)  1 B 1.38
O (0.3705, 0.9804, 0.1433)  1 B 1.38
O (0.3711, 0.6289, 0.5000)  1 B 1.38
O (0.5000, 0.1126, 0.8874)  1 B 1.37
O (0.5000, 0.3711, 0.6289)  1 B 1.38
O (0.6289, 0.5000, 0.3711)  1 B 1.38
O (0.6295, 0.8567, 0.0196)  1 B 1.38
O (0.8567, 0.0196, 0.6295)  1 B 1.38
O (0.8874, 0.5000, 0.1126)  1 B 1.37
O (0.9804, 0.1432, 0.3705)  1 B 1.38

Computed properties:
DFT total energy: -7.563 eV/atom
total magnetic moment: 2.07 μB/cell
calculated volume: 15.50 A^3/atom
formation energy from raw total energies: -2.49 eV/atom

***

No. 4
Nb3CdF: optimized geometry, PBE.

a b c (Å): 4.3813 4.3813 4.3813
angles (deg): 90.00 90.00 90.00
Closest atoms and distances in Å follow each position.
Positions (direct):
Nb (0.0000, 0.0000, 0.5000)  2 F 2.19
Nb (0.0000, 0.5000, 0.0000)  2 F 2.19
Nb (0.5000, 0.0000, 0.0000)  2 F 2.19
Cd (0.5000, 0.5000, 0.5000)  12 Nb 3.10
F (0.0000, 0.0000, 0.0000)  6 Nb 2.19

Computed properties:
DFT total energy: -6.583 eV/atom
total magnetic moment: 0.00 μB/cell
calculated volume: 16.82 A^3/atom
formation energy from raw total energies: 0.02 eV/atom

***

No. 5
GaRe: optimized geometry, PBE.

a b c (Å): 8.3709 7.7367 4.5102
angles (deg): 81.66 66.13 32.21
Closest atoms and distances in Å follow each position.
Positions (direct):
Ga (0.0388, 0.7112, 0.0388)  3 Ga 2.56-2.62, 2 Re 2.78
Ga (0.2888, 0.9612, 0.2888)  3 Ga 2.56-2.62, 2 Re 2.78
Ga (0.7112, 0.0388, 0.7112)  3 Ga 2.56-2.62, 2 Re 2.78
Ga (0.9612, 0.2888, 0.9612)  3 Ga 2.56-2.62, 2 Re 2.78
Re (0.2904, 0.2904, 0.4596)  3 Re 2.51-2.55, 2 Ga 2.78
Re (0.4596, 0.4596, 0.2904)  3 Re 2.51-2.55, 2 Ga 2.78
Re (0.5404, 0.5404, 0.7096)  3 Re 2.51-2.55, 2 Ga 2.78
Re (0.7096, 0.7096, 0.5404)  3 Re 2.51-2.55, 2 Ga 2.78

Computed properties:
DFT total energy: -7.402 eV/atom
total magnetic moment: 0.00 μB/cell
calculated volume: 16.28 A^3/atom
E_form: 0.335 eV per atom

***

No. 6
HoCoGe4: optimized geometry, PBE.

a b c (Å): 4.9966 4.9966 9.8067
angles (deg): 90.00 90.00 90.00
Closest atoms and distances in Å follow each position.
Positions (direct):
Ho (0.2500, 0.7500, 0.2500)  12 Ge 3.27-3.36, 4 Co 3.53
Ho (0.7500, 0.2500, 0.7500)  12 Ge 3.27-3.36, 4 Co 3.53
Co (0.2500, 0.7500, 0.7500)  4 Ge 2.28
Co (0.7500, 0.2500, 0.2500)  4 Ge 2.28
Ge (0.0046, 0.2500, 0.0577)  1 Co 2.28, 2 Ge 2.45-2.54
Ge (0.2500, 0.0046, 0.5577)  1 Co 2.28, 2 Ge 2.45-2.54
Ge (0.2500, 0.4954, 0.5577)  1 Co 2.28, 2 Ge 2.45-2.54
Ge (0.4954, 0.2500, 0.0577)  1 Co 2.28, 2 Ge 2.45-2.54
Ge (0.5046, 0.7500, 0.9423)  1 Co 2.28, 2 Ge 2.45-2.54
Ge (0.7500, 0.5046, 0.4423)  1 Co 2.28, 2 Ge 2.45-2.54
Ge (0.7500, 0.9954, 0.4423)  1 Co 2.28, 2 Ge 2.45-2.54
Ge (0.9954, 0.7500, 0.9423)  1 Co 2.28, 2 Ge 2.45-2.54

Computed properties:
DFT total energy: -5.047 eV/atom
total magnetic moment: 0.00 μB/cell
calculated volume: 20.40 A^3/atom
E_form: -0.022 eV per atom

***

No. 7
Ac2LaMnSe5: optimized geometry, PBE.

a b c (Å): 9.2666 9.2666 13.0948
angles (deg): 90.00 90.00 153.28
Closest atoms and distances in Å follow each position.
Positions (direct):
Ac (0.1190, 0.8810, 0.5000)  8 Se 3.20-3.35
Ac (0.1239, 0.8761, 0.1510)  8 Se 3.17-3.47
Ac (0.8761, 0.1239, 0.6510)  8 Se 3.17-3.47
Ac (0.8810, 0.1190, 0.0000)  8 Se 3.20-3.35
La (0.1797, 0.8203, 0.8320)  6 Se 2.99-3.05
La (0.8203, 0.1797, 0.3320)  6 Se 2.99-3.05
Mn (0.4509, 0.5491, 0.2319)  4 Se 2.47-2.58
Mn (0.5491, 0.4509, 0.7319)  4 Se 2.47-2.58
Se (0.0131, 0.9869, 0.8196)  2 Mn 2.52
Se (0.3006, 0.6994, 0.4953)  2 La 3.05, 3 Ac 3.26-3.28
Se (0.3158, 0.6842, 0.1663)  1 Mn 2.58
Se (0.3455, 0.6545, 0.8247)  1 La 2.99, 4 Ac 3.17-3.20
Se (0.4928, 0.5072, 0.5599)  1 Mn 2.47
Se (0.5072, 0.4928, 0.0599)  1 Mn 2.47
Se (0.6545, 0.3455, 0.3247)  1 La 2.99, 4 Ac 3.17-3.20
Se (0.6842, 0.3158, 0.6663)  1 Mn 2.58
Se (0.6994, 0.3006, 0.9953)  2 La 3.05, 3 Ac 3.26-3.28
Se (0.9869, 0.0131, 0.3196)  2 Mn 2.52

Computed properties:
DFT total energy: -6.095 eV/atom
total magnetic moment: 8.60 μB/cell
calculated volume: 28.09 A^3/atom
formation energy from raw total energies: -1.68 eV/atom

***

No. 8
Cs2LaSe2Cl2: optimized geometry, PBE.

a b c (Å): 9.8347 9.8347 9.8347
angles (deg): 145.81 145.81 49.13
Closest atoms and distances in Å follow each position.
Positions (direct):
Cs (0.1472, 0.1472, 0.0000)  1 Cl 3.45
Cs (0.8528, 0.8528, 0.0000)  1 Cl 3.45
La (0.5000, 0.5000, 0.0000)  2 Cl 2.86, 4 Se 2.89
Se (0.0000, 0.5000, 0.5000)  2 La 2.89
Se (0.5000, 0.0000, 0.5000)  2 La 2.89
Cl (0.3402, 0.3402, 0.0000)  1 La 2.86
Cl (0.6598, 0.6598, 0.0000)  1 La 2.86

Computed properties:
DFT total energy: -4.159 eV/atom
total magnetic moment: 0.00 μB/cell
calculated volume: 42.73 A^3/atom
formation energy from raw total energies: -1.69 eV/atom

***

No. 9
AlNi5H: optimized geometry, PBE.

a b c (Å): 3.4892 3.4892 5.9564
angles (deg): 90.00 90.00 90.00
Closest atoms and distances in Å follow each position.
Positions (direct):
Al (0.0000, 0.0000, 0.0000)  12 Ni 2.47-2.51
Ni (0.0000, 0.5000, 0.3030)  2 H 2.10, 1 Ni 2.35
Ni (0.0000, 0.5000, 0.6970)  2 H 2.10, 1 Ni 2.35
Ni (0.5000, 0.0000, 0.3030)  2 H 2.10, 1 Ni 2.35
Ni (0.5000, 0.0000, 0.6970)  2 H 2.10, 1 Ni 2.35
Ni (0.5000, 0.5000, 0.0000)  4 Al 2.47, 8 Ni 2.51
H (0.5000, 0.5000, 0.5000)  8 Ni 2.10

Computed properties:
DFT total energy: -5.167 eV/atom
total magnetic moment: 1.65 μB/cell
calculated volume: 10.36 A^3/atom

***

No. 10
PrEuLuIn: optimized geometry, PBE.

a b c (Å): 5.5556 5.5556 5.5556
angles (deg): 60.00 60.00 60.00
Closest atoms and distances in Å follow each position.
Positions (direct):
Pr (0.0000, 0.0000, 0.0000)  4 In 3.40, 4 Eu 3.40
Eu (0.2500, 0.2500, 0.2500)  4 Lu 3.40, 4 Pr 3.40
Lu (0.5000, 0.5000, 0.5000)  4 In 3.40, 4 Eu 3.40
In (0.7500, 0.7500, 0.7500)  4 Lu 3.40, 4 Pr 3.40

Computed properties:
DFT total energy: -5.688 eV/atom
total magnetic moment: 7.60 μB/cell
calculated volume: 30.31 A^3/atom
E_form: -0.110 eV per atom